Entry 1:
Below is crystalline PrHgAu at its relaxed geometry, with properties calculated at the PBE level.

total energy = -3.429 eV per atom
V = 25.34 Å³/atom
DOS(E_F) = 1.00 states/eV/atom
spin magnetization = 0.0 μB per cell

Cell lengths 5.2667, 5.2667, 6.3275 Å; angles 90.00, 90.00, 120.00 degrees
Space group P6_3/mmc (No. 194)
Inequivalent atoms, fractional coordinates:
Pr1 0.3333 0.6667 0.2500 [2 per cell]
Hg1 0.0000 0.0000 0.0000 [2 per cell]
Au1 0.3333 0.6667 0.7500 [2 per cell]


Entry 2:
Below is crystalline Pr4Hg5Au2 at its relaxed geometry, with properties calculated at the PBE level.

total energy = -2.991 eV per atom
V = 27.25 Å³/atom
DOS(E_F) = 0.93 states/eV/atom
spin magnetization = 0.0 μB per cell

Cell lengths 7.8884, 3.8133, 9.9956 Å; angles 90.00, 94.56, 90.00 degrees
Space group P2/m (No. 10)
Inequivalent atoms, fractional coordinates:
Pr1 0.1831 0.0000 0.3682 [2 per cell]
Pr2 0.2439 0.0000 0.9320 [2 per cell]
Hg1 0.1697 0.5000 0.6443 [2 per cell]
Hg2 0.4526 0.5000 0.1813 [2 per cell]
Hg3 0.5000 0.5000 0.5000 [1 per cell]
Au1 0.0716 0.5000 0.1353 [2 per cell]


Entry 3:
Below is crystalline Pr4Hg3Au at its relaxed geometry, with properties calculated at the PBE level.

total energy = -3.451 eV per atom
V = 28.22 Å³/atom
DOS(E_F) = 1.04 states/eV/atom
spin magnetization = 0.9 μB per cell

Cell lengths 3.8335, 3.8335, 15.3639 Å; angles 90.00, 90.00, 90.00 degrees
Space group P4/mmm (No. 123)
Inequivalent atoms, fractional coordinates:
Pr1 0.0000 0.0000 0.1169 [2 per cell]
Pr2 0.0000 0.0000 0.3722 [2 per cell]
Hg1 0.5000 0.5000 0.2478 [2 per cell]
Hg2 0.5000 0.5000 0.5000 [1 per cell]
Au1 0.5000 0.5000 0.0000 [1 per cell]


Entry 4:
Below is crystalline Pr12Hg6Au at its relaxed geometry, with properties calculated at the PBE level.

total energy = -3.528 eV per atom
V = 30.67 Å³/atom
DOS(E_F) = 1.15 states/eV/atom
spin magnetization = 0.0 μB per cell

Cell lengths 11.9622, 11.9622, 14.1048 Å; angles 90.00, 90.00, 120.00 degrees
Space group R-3 (No. 148, hexagonal axes)
Inequivalent atoms, fractional coordinates:
Pr1 0.0537 0.8379 0.4060 [18 per cell]
Pr2 0.0696 0.1879 0.8290 [18 per cell]
Hg1 0.0147 0.4280 0.7074 [18 per cell]
Au1 0.0000 0.0000 0.0000 [3 per cell]


Entry 5:
Below is crystalline Pr3HgAu2 at its relaxed geometry, with properties calculated at the PBE level.

total energy = -4.187 eV per atom
V = 27.07 Å³/atom
DOS(E_F) = 0.85 states/eV/atom
spin magnetization = 0.0 μB per cell

Cell lengths 3.7911, 3.7911, 11.3002 Å; angles 90.00, 90.00, 90.00 degrees
Space group P4/mmm (No. 123)
Inequivalent atoms, fractional coordinates:
Pr1 0.0000 0.0000 0.0000 [1 per cell]
Pr2 0.0000 0.0000 0.3252 [2 per cell]
Hg1 0.5000 0.5000 0.5000 [1 per cell]
Au1 0.5000 0.5000 0.1643 [2 per cell]


Entry 6:
Below is crystalline Pr3Hg2Au4 at its relaxed geometry, with properties calculated at the PBE level.

total energy = -3.774 eV per atom
V = 24.58 Å³/atom
DOS(E_F) = 0.65 states/eV/atom
spin magnetization = 0.0 μB per cell

Cell lengths 11.1927, 4.8225, 9.1992 Å; angles 90.00, 116.98, 90.00 degrees
Space group C2/m (No. 12)
Inequivalent atoms, fractional coordinates:
Pr1 0.0000 0.0000 0.0000 [2 per cell]
Pr2 0.1565 0.5000 0.6810 [4 per cell]
Hg1 0.1302 0.5000 0.2953 [4 per cell]
Au1 0.0629 0.0000 0.3982 [4 per cell]
Au2 0.2226 0.5000 0.0562 [4 per cell]


Entry 7:
Below is crystalline Pr4Hg2Au at its relaxed geometry, with properties calculated at the PBE level.

total energy = -3.674 eV per atom
V = 31.03 Å³/atom
DOS(E_F) = 1.33 states/eV/atom
spin magnetization = 0.0 μB per cell

Cell lengths 5.3519, 5.3519, 26.2706 Å; angles 90.00, 90.00, 120.00 degrees
Space group R-3m (No. 166, hexagonal axes)
Inequivalent atoms, fractional coordinates:
Pr1 0.0000 0.0000 0.1229 [6 per cell]
Pr2 0.0000 0.0000 0.3734 [6 per cell]
Hg1 0.0000 0.0000 0.2447 [6 per cell]
Au1 0.0000 0.0000 0.0000 [3 per cell]


Entry 8:
Below is crystalline Pr5Hg2Au2 at its relaxed geometry, with properties calculated at the PBE level.

total energy = -3.963 eV per atom
V = 29.69 Å³/atom
DOS(E_F) = 1.30 states/eV/atom
spin magnetization = 0.0 μB per cell

Cell lengths 16.7058, 7.4887, 8.5431 Å; angles 90.00, 90.00, 90.00 degrees
Space group Cmce (No. 64)
Inequivalent atoms, fractional coordinates:
Pr1 0.0000 0.0000 0.0000 [4 per cell]
Pr2 0.1345 0.1668 0.3245 [16 per cell]
Hg1 0.2113 0.0000 0.0000 [8 per cell]
Au1 0.0000 0.1232 0.6323 [8 per cell]